Run one
The following is a DFT calculation (PBE) of a relaxed HgBi2Pt2 crystal.

CIF file:
```
data_HgBi2Pt2
_chemical_formula_sum 'Hg2 Bi4 Pt4'
_symmetry_space_group_name_H-M 'I 4/m m m'
_symmetry_Int_Tables_number 139
_symmetry_space_group_name_Hall '-I 4 2'
_cell_length_a 3.971
_cell_length_b 3.971
_cell_length_c 16.368
_cell_angle_alpha 90.00
_cell_angle_beta 90.00
_cell_angle_gamma 90.00
loop_
_atom_site_label
_atom_site_fract_x
_atom_site_fract_y
_atom_site_fract_z
Hg1 0.000 0.000 0.000
Bi1 0.000 0.000 0.372
Pt1 0.000 0.500 0.250
```

Summary:
* size of the total moment: 0.000 μB per cell



Run two
The following is a DFT calculation (PBE) of a relaxed HgBi2Pt2 crystal.

CIF file:
```
data_HgBi2Pt2
_chemical_formula_sum 'Hg2 Bi4 Pt4'
_symmetry_space_group_name_H-M 'I 4/m m m'
_symmetry_Int_Tables_number 139
_symmetry_space_group_name_Hall '-I 4 2'
_cell_length_a 5.065
_cell_length_b 5.065
_cell_length_c 10.129
_cell_angle_alpha 90.00
_cell_angle_beta 90.00
_cell_angle_gamma 90.00
loop_
_atom_site_label
_atom_site_fract_x
_atom_site_fract_y
_atom_site_fract_z
Hg1 0.000 0.000 0.000
Bi1 0.000 0.500 0.250
Pt1 0.000 0.000 0.371
```

Summary:
* size of the total moment: 0.000 μB per cell



Bottom line: run one, by a margin of 12.8 kJ/mol of atoms.



Run one
The following is a DFT calculation (PBE) of a relaxed HgBiPt crystal.

CIF file:
```
data_HgBiPt
_chemical_formula_sum 'Hg4 Bi4 Pt4'
_symmetry_space_group_name_H-M 'C m c m'
_symmetry_Int_Tables_number 63
_symmetry_space_group_name_Hall '-C 2c 2'
_cell_length_a 5.660
_cell_length_b 16.994
_cell_length_c 3.877
_cell_angle_alpha 90.00
_cell_angle_beta 90.00
_cell_angle_gamma 90.00
loop_
_atom_site_label
_atom_site_fract_x
_atom_site_fract_y
_atom_site_fract_z
Hg1 0.000 0.064 0.250
Bi1 0.000 0.295 0.250
Pt1 0.000 0.181 0.750
```

Summary:
* size of the total moment: 0.000 μB per cell



Run two
The following is a DFT calculation (PBE) of a relaxed HgBiPt crystal.

CIF file:
```
data_HgBiPt
_chemical_formula_sum 'Hg1 Bi1 Pt1'
_symmetry_space_group_name_H-M 'P 3 m 1'
_symmetry_Int_Tables_number 156
_symmetry_space_group_name_Hall 'P 3 -2"'
_cell_length_a 4.8711
_cell_length_b 4.8711
_cell_length_c 3.2989
_cell_angle_alpha 90.00
_cell_angle_beta 90.00
_cell_angle_gamma 120.00
loop_
_atom_site_label
_atom_site_fract_x
_atom_site_fract_y
_atom_site_fract_z
Hg1 0.0000 0.0000 0.0000
Bi1 0.3333 0.6667 0.4998
Pt1 0.6667 0.3333 0.0042
```

Summary:
* size of the total moment: 0.000 μB per cell



Run three
The following is a DFT calculation (PBE) of a relaxed HgBiPt crystal.

CIF file:
```
data_HgBiPt
_chemical_formula_sum 'Hg4 Bi4 Pt4'
_symmetry_space_group_name_H-M 'F -4 3 m'
_symmetry_Int_Tables_number 216
_symmetry_space_group_name_Hall 'F -4 2 3'
_cell_length_a 6.672
_cell_length_b 6.672
_cell_length_c 6.672
_cell_angle_alpha 90.00
_cell_angle_beta 90.00
_cell_angle_gamma 90.00
loop_
_atom_site_label
_atom_site_fract_x
_atom_site_fract_y
_atom_site_fract_z
Hg1 0.000 0.000 0.000
Bi1 0.000 0.000 0.500
Pt1 0.250 0.250 0.750
```

Summary:
* size of the total moment: 0.000 μB per cell



Run four
The following is a DFT calculation (PBE) of a relaxed HgBiPt crystal.

CIF file:
```
data_HgBiPt
_chemical_formula_sum 'Hg2 Bi2 Pt2'
_symmetry_space_group_name_H-M 'I 4 m m'
_symmetry_Int_Tables_number 107
_symmetry_space_group_name_Hall 'I 4 -2'
_cell_length_a 3.449
_cell_length_b 3.449
_cell_length_c 11.796
_cell_angle_alpha 90.00
_cell_angle_beta 90.00
_cell_angle_gamma 90.00
loop_
_atom_site_label
_atom_site_fract_x
_atom_site_fract_y
_atom_site_fract_z
Hg1 0.000 0.000 0.000
Bi1 0.000 0.000 0.718
Pt1 0.000 0.000 0.352
```

Summary:
* size of the total moment: 0.000 μB per cell



Bottom line: run three, by a margin of 4.9 kJ/mol of atoms.



Run one
The following is a DFT calculation (PBE) of a relaxed Pu2HgBi2 crystal.

CIF file:
```
data_Pu2HgBi2
_chemical_formula_sum 'Pu2 Hg1 Bi2'
_symmetry_space_group_name_H-M 'P -3 m 1'
_symmetry_Int_Tables_number 164
_symmetry_space_group_name_Hall '-P 3 2"'
_cell_length_a 5.4443
_cell_length_b 5.4443
_cell_length_c 6.4308
_cell_angle_alpha 90.00
_cell_angle_beta 90.00
_cell_angle_gamma 120.00
loop_
_atom_site_label
_atom_site_fract_x
_atom_site_fract_y
_atom_site_fract_z
Pu1 0.3333 0.6667 0.2029
Hg1 0.0000 0.0000 0.0000
Bi1 0.3333 0.6667 0.6974
```

Summary:
* size of the total moment: 10.602 μB per cell



Run two
The following is a DFT calculation (PBE) of a relaxed Pu2HgBi2 crystal.

CIF file:
```
data_Pu2HgBi2
_chemical_formula_sum 'Pu4 Hg2 Bi4'
_symmetry_space_group_name_H-M 'I m m m'
_symmetry_Int_Tables_number 71
_symmetry_space_group_name_Hall '-I 2 2'
_cell_length_a 4.803
_cell_length_b 7.777
_cell_length_c 8.164
_cell_angle_alpha 90.00
_cell_angle_beta 90.00
_cell_angle_gamma 90.00
loop_
_atom_site_label
_atom_site_fract_x
_atom_site_fract_y
_atom_site_fract_z
Pu1 0.000 0.214 0.000
Hg1 0.000 0.000 0.500
Bi1 0.000 0.500 0.300
```

Summary:
* size of the total moment: 22.729 μB per cell



Bottom line: run two, by a margin of 4.3 kJ/mol of atoms.



Run one
The following is a DFT calculation (PBE) of a relaxed PuHgBi crystal.

CIF file:
```
data_PuHgBi
_chemical_formula_sum 'Pu2 Hg2 Bi2'
_symmetry_space_group_name_H-M 'P 63/m m c'
_symmetry_Int_Tables_number 194
_symmetry_space_group_name_Hall '-P 6c 2c'
_cell_length_a 5.4016
_cell_length_b 5.4016
_cell_length_c 6.6854
_cell_angle_alpha 90.00
_cell_angle_beta 90.00
_cell_angle_gamma 120.00
loop_
_atom_site_label
_atom_site_fract_x
_atom_site_fract_y
_atom_site_fract_z
Pu1 0.3333 0.6667 0.2500
Hg1 0.3333 0.6667 0.7500
Bi1 0.0000 0.0000 0.0000
```

Summary:
* size of the total moment: 11.500 μB per cell



Run two
The following is a DFT calculation (PBE) of a relaxed PuHgBi crystal.

CIF file:
```
data_PuHgBi
_chemical_formula_sum 'Pu2 Hg2 Bi2'
_symmetry_space_group_name_H-M 'I 4 m m'
_symmetry_Int_Tables_number 107
_symmetry_space_group_name_Hall 'I 4 -2'
_cell_length_a 3.783
_cell_length_b 3.783
_cell_length_c 11.756
_cell_angle_alpha 90.00
_cell_angle_beta 90.00
_cell_angle_gamma 90.00
loop_
_atom_site_label
_atom_site_fract_x
_atom_site_fract_y
_atom_site_fract_z
Pu1 0.000 0.000 0.000
Hg1 0.000 0.000 0.341
Bi1 0.000 0.000 0.679
```

Summary:
* size of the total moment: 11.889 μB per cell



Bottom line: run one, by a margin of 6.7 kJ/mol of atoms.



Run one
The following is a DFT calculation (PBE) of a relaxed PuSnHgBi crystal.

CIF file:
```
data_PuSnHgBi
_chemical_formula_sum 'Pu4 Sn4 Hg4 Bi4'
_symmetry_space_group_name_H-M 'F -4 3 m'
_symmetry_Int_Tables_number 216
_symmetry_space_group_name_Hall 'F -4 2 3'
_cell_length_a 7.661
_cell_length_b 7.661
_cell_length_c 7.661
_cell_angle_alpha 90.00
_cell_angle_beta 90.00
_cell_angle_gamma 90.00
loop_
_atom_site_label
_atom_site_fract_x
_atom_site_fract_y
_atom_site_fract_z
Pu1 0.000 0.000 0.000
Sn1 0.250 0.250 0.250
Hg1 0.250 0.250 0.750
Bi1 0.000 0.000 0.500
```

Summary:
* size of the total moment: 23.831 μB per cell



Run two
The following is a DFT calculation (PBE) of a relaxed PuSnHgBi crystal.

CIF file:
```
data_PuSnHgBi
_chemical_formula_sum 'Pu1 Sn1 Hg1 Bi1'
_symmetry_space_group_name_H-M 'P m m m'
_symmetry_Int_Tables_number 47
_symmetry_space_group_name_Hall '-P 2 2'
_cell_length_a 4.498
_cell_length_b 4.769
_cell_length_c 4.931
_cell_angle_alpha 90.00
_cell_angle_beta 90.00
_cell_angle_gamma 90.00
loop_
_atom_site_label
_atom_site_fract_x
_atom_site_fract_y
_atom_site_fract_z
Pu1 0.000 0.000 0.000
Sn1 0.500 0.000 0.500
Hg1 0.000 0.500 0.500
Bi1 0.500 0.500 0.000
```

Summary:
* size of the total moment: 5.457 μB per cell



Bottom line: run two, by a margin of 16.9 kJ/mol of atoms.



Run one
The following is a DFT calculation (PBE) of a relaxed RbHgBi3 crystal.

CIF file:
```
data_RbHgBi3
_chemical_formula_sum 'Rb1 Hg1 Bi3'
_symmetry_space_group_name_H-M 'P m -3 m'
_symmetry_Int_Tables_number 221
_symmetry_space_group_name_Hall '-P 4 2 3'
_cell_length_a 5.882
_cell_length_b 5.882
_cell_length_c 5.882
_cell_angle_alpha 90.00
_cell_angle_beta 90.00
_cell_angle_gamma 90.00
loop_
_atom_site_label
_atom_site_fract_x
_atom_site_fract_y
_atom_site_fract_z
Rb1 0.000 0.000 0.000
Hg1 0.500 0.500 0.500
Bi1 0.000 0.500 0.500
```

Summary:
* size of the total moment: 0.000 μB per cell



Run two
The following is a DFT calculation (PBE) of a relaxed RbHgBi3 crystal.

CIF file:
```
data_RbHgBi3
_chemical_formula_sum 'Rb4 Hg4 Bi12'
_symmetry_space_group_name_H-M 'C m c m'
_symmetry_Int_Tables_number 63
_symmetry_space_group_name_Hall '-C 2c 2'
_cell_length_a 8.233
_cell_length_b 12.730
_cell_length_c 7.225
_cell_angle_alpha 90.00
_cell_angle_beta 90.00
_cell_angle_gamma 90.00
loop_
_atom_site_label
_atom_site_fract_x
_atom_site_fract_y
_atom_site_fract_z
Rb1 0.000 0.236 0.250
Hg1 0.000 0.336 0.750
Bi1 0.000 0.100 0.750
Bi2 0.205 0.500 0.000
```

Summary:
* size of the total moment: 0.000 μB per cell



Run three
The following is a DFT calculation (PBE) of a relaxed RbHgBi3 crystal.

CIF file:
```
data_RbHgBi3
_chemical_formula_sum 'Rb2 Hg2 Bi6'
_symmetry_space_group_name_H-M 'P m n 21'
_symmetry_Int_Tables_number 31
_symmetry_space_group_name_Hall 'P 2ac -2'
_cell_length_a 7.061
_cell_length_b 7.518
_cell_length_c 7.082
_cell_angle_alpha 90.00
_cell_angle_beta 90.00
_cell_angle_gamma 90.00
loop_
_atom_site_label
_atom_site_fract_x
_atom_site_fract_y
_atom_site_fract_z
Rb1 0.000 0.234 0.000
Hg1 0.000 0.928 0.603
Bi1 0.000 0.598 0.352
Bi2 0.228 0.751 0.003
```

Summary:
* size of the total moment: 0.000 μB per cell



Run four
The following is a DFT calculation (PBE) of a relaxed RbHgBi3 crystal.

CIF file:
```
data_RbHgBi3
_chemical_formula_sum 'Rb1 Hg1 Bi3'
_symmetry_space_group_name_H-M 'P m -3 m'
_symmetry_Int_Tables_number 221
_symmetry_space_group_name_Hall '-P 4 2 3'
_cell_length_a 6.283
_cell_length_b 6.283
_cell_length_c 6.283
_cell_angle_alpha 90.00
_cell_angle_beta 90.00
_cell_angle_gamma 90.00
loop_
_atom_site_label
_atom_site_fract_x
_atom_site_fract_y
_atom_site_fract_z
Rb1 0.000 0.000 0.000
Hg1 0.500 0.500 0.500
Bi1 0.000 0.000 0.500
```

Summary:
* size of the total moment: 0.000 μB per cell



Bottom line: run two, by a margin of 2.7 kJ/mol of atoms.



Run one
The following is a DFT calculation (PBE) of a relaxed Rb2HgBi2 crystal.

CIF file:
```
data_Rb2HgBi2
_chemical_formula_sum 'Rb4 Hg2 Bi4'
_symmetry_space_group_name_H-M 'P 4/m b m'
_symmetry_Int_Tables_number 127
_symmetry_space_group_name_Hall '-P 4 2ab'
_cell_length_a 10.685
_cell_length_b 10.685
_cell_length_c 3.848
_cell_angle_alpha 90.00
_cell_angle_beta 90.00
_cell_angle_gamma 90.00
loop_
_atom_site_label
_atom_site_fract_x
_atom_site_fract_y
_atom_site_fract_z
Rb1 0.196 0.304 0.000
Hg1 0.000 0.000 0.500
Bi1 0.097 0.597 0.500
```

Summary:
* size of the total moment: 0.000 μB per cell



Run two
The following is a DFT calculation (PBE) of a relaxed Rb2HgBi2 crystal.

CIF file:
```
data_Rb2HgBi2
_chemical_formula_sum 'Rb4 Hg2 Bi4'
_symmetry_space_group_name_H-M 'I 4/m m m'
_symmetry_Int_Tables_number 139
_symmetry_space_group_name_Hall '-I 4 2'
_cell_length_a 4.588
_cell_length_b 4.588
_cell_length_c 22.026
_cell_angle_alpha 90.00
_cell_angle_beta 90.00
_cell_angle_gamma 90.00
loop_
_atom_site_label
_atom_site_fract_x
_atom_site_fract_y
_atom_site_fract_z
Rb1 0.000 0.000 0.108
Hg1 0.000 0.000 0.500
Bi1 0.000 0.500 0.250
```

Summary:
* size of the total moment: 0.000 μB per cell



Run three
The following is a DFT calculation (PBE) of a relaxed Rb2HgBi2 crystal.

CIF file:
```
data_Rb2HgBi2
_chemical_formula_sum 'Rb8 Hg4 Bi8'
_symmetry_space_group_name_H-M 'C 1 2/m 1'
_symmetry_Int_Tables_number 12
_symmetry_space_group_name_Hall '-C 2y'
_cell_length_a 13.871
_cell_length_b 5.358
_cell_length_c 13.107
_cell_angle_alpha 90.00
_cell_angle_beta 116.06
_cell_angle_gamma 90.00
loop_
_atom_site_label
_atom_site_fract_x
_atom_site_fract_y
_atom_site_fract_z
Rb1 0.109 0.000 0.406
Rb2 0.208 0.500 0.152
Hg1 0.046 0.500 0.804
Bi1 0.054 0.000 0.919
Bi2 0.104 0.500 0.609
```

Summary:
* size of the total moment: 0.000 μB per cell



Run four
The following is a DFT calculation (PBE) of a relaxed Rb2HgBi2 crystal.

CIF file:
```
data_Rb2HgBi2
_chemical_formula_sum 'Rb4 Hg2 Bi4'
_symmetry_space_group_name_H-M 'A m m 2'
_symmetry_Int_Tables_number 38
_symmetry_space_group_name_Hall 'A 2 -2'
_cell_length_a 5.416
_cell_length_b 4.904
_cell_length_c 15.942
_cell_angle_alpha 90.00
_cell_angle_beta 90.00
_cell_angle_gamma 90.00
loop_
_atom_site_label
_atom_site_fract_x
_atom_site_fract_y
_atom_site_fract_z
Rb1 0.000 0.000 0.000
Rb2 0.000 0.000 0.237
Hg1 0.500 0.000 0.428
Bi1 0.500 0.000 0.622
Bi2 0.500 0.000 0.815
```

Summary:
* size of the total moment: 0.000 μB per cell



Bottom line: run three, by a margin of 6.5 kJ/mol of atoms.



Run one
The following is a DFT calculation (PBE) of a relaxed Rb2HgBi2 crystal.

CIF file:
```
data_Rb2HgBi2
_chemical_formula_sum 'Rb4 Hg2 Bi4'
_symmetry_space_group_name_H-M 'P 4/m b m'
_symmetry_Int_Tables_number 127
_symmetry_space_group_name_Hall '-P 4 2ab'
_cell_length_a 10.877
_cell_length_b 10.877
_cell_length_c 3.664
_cell_angle_alpha 90.00
_cell_angle_beta 90.00
_cell_angle_gamma 90.00
loop_
_atom_site_label
_atom_site_fract_x
_atom_site_fract_y
_atom_site_fract_z
Rb1 0.195 0.305 0.000
Hg1 0.000 0.000 0.000
Bi1 0.097 0.597 0.500
```

Summary:
* size of the total moment: 0.000 μB per cell



Run two
The following is a DFT calculation (PBE) of a relaxed Rb2HgBi2 crystal.

CIF file:
```
data_Rb2HgBi2
_chemical_formula_sum 'Rb4 Hg2 Bi4'
_symmetry_space_group_name_H-M 'I 4/m m m'
_symmetry_Int_Tables_number 139
_symmetry_space_group_name_Hall '-I 4 2'
_cell_length_a 7.283
_cell_length_b 7.283
_cell_length_c 9.743
_cell_angle_alpha 90.00
_cell_angle_beta 90.00
_cell_angle_gamma 90.00
loop_
_atom_site_label
_atom_site_fract_x
_atom_site_fract_y
_atom_site_fract_z
Rb1 0.000 0.500 0.250
Hg1 0.000 0.000 0.000
Bi1 0.000 0.000 0.352
```

Summary:
* size of the total moment: 0.000 μB per cell



Bottom line: run one, by a margin of 7.0 kJ/mol of atoms.